A plane-wave DFT calculation with PBE-GGA was carried out for a relaxed NdFeRe crystal.

As for the energy of formation: 0.568 eV per atom. The density of states at the Fermi level comes out at 1.44 states/eV/atom. As for the magnetization: 0.4 μB/f.u. The total energy is -7.99 eV/atom.

It has space group P4_12_12 (No. 92), with a = 6.832 Å, b = 6.832 Å, c = 5.842 Å, α = 90.00°, β = 90.00° and γ = 90.00°. The distinct sites, in fractional coordinates, are Nd at (0.235, 0.235, 0.000), Fe at (0.146, 0.854, 0.750) and Re at (0.113, 0.113, 0.500).

A plane-wave DFT calculation with PBE-GGA was carried out for a relaxed Pm2Sm2Er3 crystal.

As for the energy of formation: 0.122 eV per atom. The density of states at the Fermi level comes out at 1.59 states/eV/atom. As for the magnetization: 0.0 μB/f.u. The total energy is -4.54 eV/atom.

It has space group C2/m (No. 12), with a = 17.575 Å, b = 3.503 Å, c = 8.611 Å, α = 90.00°, β = 119.09° and γ = 90.00°. The distinct sites, in fractional coordinates, are Pm at (0.067, 0.000, 0.410), Sm at (0.149, 0.500, 0.834), Er at (0.000, 0.500, 0.000) and Er at (0.212, 0.500, 0.304).

A plane-wave DFT calculation with PBE-GGA was carried out for a relaxed Pm2YErSc crystal.

As for the energy of formation: 0.363 eV per atom. The density of states at the Fermi level comes out at 1.61 states/eV/atom. As for the magnetization: 0.0 μB/f.u. The total energy is -5.01 eV/atom.

It has space group Cmcm (No. 63), with a = 6.434 Å, b = 15.800 Å, c = 6.438 Å, α = 90.00°, β = 90.00° and γ = 90.00°. The distinct sites, in fractional coordinates, are Pm at (0.249, 0.000, 0.000), Y at (0.000, 0.250, 0.250), Er at (0.000, 0.340, 0.750) and Sc at (0.000, 0.155, 0.750).

A plane-wave DFT calculation with PBE-GGA was carried out for a relaxed Co2RuPt crystal.

As for the energy of formation: 0.081 eV per atom. The density of states at the Fermi level comes out at 1.26 states/eV/atom. As for the magnetization: 3.5 μB/f.u. The total energy is -7.30 eV/atom.

It has space group R-3m (No. 166, hexagonal axes), with a = 2.6719 Å, b = 2.6719 Å, c = 25.4460 Å, α = 90.00°, β = 90.00° and γ = 120.00°. The distinct sites, in fractional coordinates, are Co at (0.0000, 0.0000, 0.2478), Ru at (0.0000, 0.0000, 0.5000) and Pt at (0.0000, 0.0000, 0.0000).

A plane-wave DFT calculation with PBE-GGA was carried out for a relaxed ScPSCl2 crystal.

As for the uncorrected formation energy: -0.160 eV per atom. The density of states at the Fermi level comes out at 0.76 states/eV/atom. As for the magnetization: 1.0 μB/f.u. The total energy is -4.07 eV/atom.

It has space group P4/mmm (No. 123), with a = 4.684 Å, b = 4.684 Å, c = 4.908 Å, α = 90.00°, β = 90.00° and γ = 90.00°. The distinct sites, in fractional coordinates, are Sc at (0.000, 0.000, 0.000), P at (0.500, 0.500, 0.500), S at (0.500, 0.500, 0.000) and Cl at (0.000, 0.500, 0.500).

A plane-wave DFT calculation with PBE-GGA was carried out for a relaxed SmTm2Ga crystal.

As for the energy of formation: 0.146 eV per atom. The density of states at the Fermi level comes out at 1.04 states/eV/atom. As for the magnetization: 0.0 μB/f.u. The total energy is -4.03 eV/atom.

It has space group R-3m (No. 166, hexagonal axes), with a = 3.4758 Å, b = 3.4758 Å, c = 34.7347 Å, α = 90.00°, β = 90.00° and γ = 120.00°. The distinct sites, in fractional coordinates, are Sm at (0.0000, 0.0000, 0.0000), Tm at (0.0000, 0.0000, 0.4151) and Ga at (0.0000, 0.0000, 0.5000).